A geometry-optimized Ga3SnPd12 structure. Source: Alexandria via LeMat-Bulk, functional PBE.

abc: 3.9645 3.9645 15.7147
angles: 90.00 90.00 90.00
With the nearest neighbours (Å) after each atom.
Atoms (fractional coordinates):
Pd (0.5000, 0.0000, 0.8687)  8 Pd 2.77-2.86, 2 Ga 2.78, 2 Sn 2.86
Pd (0.5000, 0.0000, 0.6227)  4 Ga 2.76-2.77, 8 Pd 2.77-2.80
Pd (0.0000, 0.5000, 0.6227)  4 Ga 2.76-2.77, 8 Pd 2.77-2.80
Pd (0.0000, 0.5000, 0.3773)  4 Ga 2.76-2.77, 8 Pd 2.77-2.80
Pd (0.0000, 0.5000, 0.8687)  8 Pd 2.77-2.86, 2 Ga 2.78, 2 Sn 2.86
Pd (0.5000, 0.5000, 0.5000)  8 Pd 2.77, 4 Ga 2.80
Pd (0.5000, 0.5000, 0.2541)  8 Pd 2.77, 4 Ga 2.80
Pd (0.0000, 0.5000, 0.1313)  8 Pd 2.77-2.86, 2 Ga 2.78, 2 Sn 2.86
Pd (0.5000, 0.0000, 0.3773)  4 Ga 2.76-2.77, 8 Pd 2.77-2.80
Pd (0.5000, 0.5000, 0.0000)  4 Sn 2.80, 8 Pd 2.86
Pd (0.5000, 0.0000, 0.1313)  8 Pd 2.77-2.86, 2 Ga 2.78, 2 Sn 2.86
Pd (0.5000, 0.5000, 0.7459)  8 Pd 2.77, 4 Ga 2.80
Sn (0.0000, 0.0000, 0.0000)  12 Pd 2.80-2.86
Ga (0.0000, 0.0000, 0.5000)  12 Pd 2.77-2.80
Ga (0.0000, 0.0000, 0.2555)  12 Pd 2.76-2.80
Ga (0.0000, 0.0000, 0.7445)  12 Pd 2.76-2.80

Values from the calculation:
E_form   -0.46 eV per atom
Density of states at the Fermi level   1.0286 states/eV/atom
ρ   10.8 Mg/m³
Total energy   -5.17 eV per atom

***

A geometry-optimized Ca2Ni2Sn3 structure. Source: Alexandria via LeMat-Bulk, functional PBE.

abc: 4.2219 5.8727 7.4716
angles: 115.07 90.00 111.07
With the nearest neighbours (Å) after each atom.
Atoms (fractional coordinates):
Ca (0.8536, 0.7073, 0.2100)  4 Ni 3.00-3.31, 2 Sn 3.22
Ca (0.1464, 0.2927, 0.7900)  4 Ni 3.00-3.31, 2 Sn 3.22
Ni (0.1310, 0.2619, 0.2222)  5 Sn 2.63-2.74
Ni (0.8690, 0.7381, 0.7778)  5 Sn 2.63-2.74
Sn (0.6307, 0.2614, 0.4551)  3 Ni 2.63-2.74
Sn (0.5000, 0.0000, 0.0000)  4 Ni 2.67
Sn (0.3693, 0.7386, 0.5449)  3 Ni 2.63-2.74

Values from the calculation:
Polymorph energy (0 for the lowest one)   0 meV/atom
E_form   -0.42 eV per atom
Density of states at the Fermi level   0.6071 states/eV/atom
ρ   6.0 Mg/m³
Total energy   -4.36 eV per atom